# BAs2IrSe

A relaxed BAs2IrSe crystal (PBE-GGA, Alexandria via LeMat-Bulk).

Properties
DOS(E_F) (states/eV per cell): 1.827
Offset from the most stable computed form (eV per atom): 0.000
Spin magnetization (Bohr magnetons per cell): 0.00

Unit cell a=4.2348 b=4.2348 c=4.3871 alpha=90.00 beta=90.00 gamma=90.00
Fractional positions:
B (0.0000, 0.0000, 0.0000)
As (0.0000, 0.5000, 0.0000)
As (0.5000, 0.0000, 0.0000)
Ir (0.5000, 0.5000, 0.5000)
Se (0.0000, 0.0000, 0.5000)